(1)
Zr2CdO2 | Alexandria via LeMat-Bulk | PBE-GGA | optimized geometry; total magnetization = 0.00 μB/cell; E_form (uncorrected) = -1.93 eV/atom; excess energy over the best structure of this formula in the dataset = 0 meV/atom; volume = 82.2 Å³/f.u.; N(E_F) = 1.31 states/eV/cell
1.0
3.5820 0.0000 0.0000
0.0000 3.5820 0.0000
1.7910 1.7910 6.4068
Zr O Cd
2 2 1
Direct
0.3450 0.3450 0.3100 Zr
0.6550 0.6550 0.6900 Zr
0.7500 0.2500 0.5000 O
0.2500 0.7500 0.5000 O
0.0000 0.0000 0.0000 Cd

=====

(2)
Zr2CdO2 | Alexandria via LeMat-Bulk | PBE-GGA | optimized geometry; total magnetization = 0.00 μB/cell; E_form (uncorrected) = -1.03 eV/atom; excess energy over the best structure of this formula in the dataset = 904 meV/atom; volume = 79.4 Å³/f.u.; N(E_F) = 7.80 states/eV/cell
1.0
7.3559 0.0000 0.0000
0.0000 7.3559 0.0000
0.0000 0.0000 2.9341
Cd O Zr
2 4 4
Direct
0.0000 0.0000 0.0000 Cd
0.5000 0.5000 0.0000 Cd
0.3867 0.1133 0.5000 O
0.6133 0.8867 0.5000 O
0.8867 0.3867 0.5000 O
0.1133 0.6133 0.5000 O
0.1355 0.3645 0.0000 Zr
0.8645 0.6355 0.0000 Zr
0.6355 0.1355 0.0000 Zr
0.3645 0.8645 0.0000 Zr

=====

(3)
ZrCdO3 | Alexandria via LeMat-Bulk | PBE-GGA | optimized geometry; total magnetization = 0.00 μB/cell; E_form (uncorrected) = -0.61 eV/atom; volume = 67.3 Å³/f.u.; N(E_F) = 3.29 states/eV/cell
1.0
4.0683 0.0000 0.0000
0.0000 4.0683 0.0000
0.0000 0.0000 4.0683
O Cd Zr
3 1 1
Direct
0.0000 0.0000 0.5000 O
0.5000 0.0000 0.0000 O
0.0000 0.5000 0.0000 O
0.0000 0.0000 0.0000 Cd
0.5000 0.5000 0.5000 Zr

=====

(4)
ZrCd2O4 | Alexandria via LeMat-Bulk | PBE-GGA | optimized geometry; total magnetization = 0.00 μB/cell; E_form (uncorrected) = -1.94 eV/atom; excess energy over the best structure of this formula in the dataset = 0 meV/atom; volume = 102.3 Å³/f.u.; N(E_F) = 0.00 states/eV/cell
1.0
3.2489 0.0000 -0.8891
-0.7910 4.9555 -2.8905
0.0355 -0.2694 6.5102
O Cd Zr
4 2 1
Direct
0.6063 0.2660 0.2125 O
0.3937 0.7340 0.7875 O
0.1255 0.8687 0.2511 O
0.8745 0.1313 0.7489 O
0.6804 0.7035 0.3607 Cd
0.3196 0.2965 0.6393 Cd
0.0000 0.0000 0.0000 Zr

=====

(5)
ZrCd3O | Alexandria via LeMat-Bulk | PBE-GGA | optimized geometry; total magnetization = 0.00 μB/cell; E_form (uncorrected) = 1.28 eV/atom; excess energy over the best structure of this formula in the dataset = 1178 meV/atom; volume = 185.6 Å³/f.u.; N(E_F) = 5.61 states/eV/cell
1.0
5.7040 0.0000 0.0000
0.0000 5.7040 0.0000
0.0000 0.0000 5.7040
Cd Zr O
3 1 1
Direct
0.0000 0.0000 0.5000 Cd
0.0000 0.5000 0.0000 Cd
0.5000 0.0000 0.0000 Cd
0.0000 0.0000 0.0000 Zr
0.5000 0.5000 0.5000 O

=====

(6)
ZrCdO2 | Alexandria via LeMat-Bulk | PBE-GGA | optimized geometry; total magnetization = 0.00 μB/cell; E_form (uncorrected) = -2.18 eV/atom; volume = 96.5 Å³/f.u.; N(E_F) = 0.00 states/eV/cell
1.0
-6.0678 -0.9570 2.0840
-0.7750 -4.6923 -4.4112
-1.8954 -5.9182 1.8590
Cd O Zr
2 4 2
Direct
0.7500 0.2500 0.5000 Cd
0.0000 0.0000 0.0000 Cd
0.3757 0.6250 0.2500 O
0.8750 0.6243 0.7500 O
0.3750 0.6257 0.7500 O
0.3743 0.1250 0.2500 O
0.2500 0.7500 0.5000 Zr
0.5000 0.5000 0.0000 Zr

=====

(7)
Zr2CdO | Alexandria via LeMat-Bulk | PBE-GGA | optimized geometry; total magnetization = 0.00 μB/cell; E_form (uncorrected) = -1.30 eV/atom; excess energy over the best structure of this formula in the dataset = 0 meV/atom; volume = 75.4 Å³/f.u.; N(E_F) = 5.17 states/eV/cell
1.0
-5.5561 2.1408 1.8099
1.5115 -4.5412 -3.9778
-0.0521 -3.4016 3.8635
Zr O Cd
4 2 2
Direct
0.1418 0.3192 0.5000 Zr
0.8582 0.6808 0.5000 Zr
0.3192 0.1418 0.0000 Zr
0.6808 0.8582 0.0000 Zr
0.5000 0.5000 0.7500 O
0.5000 0.5000 0.2500 O
0.5000 0.0000 0.5000 Cd
0.0000 0.5000 0.0000 Cd

=====

(8)
ZrCd2O4 | Alexandria via LeMat-Bulk | PBE-GGA | optimized geometry; total magnetization = 0.00 μB/cell; E_form (uncorrected) = -1.76 eV/atom; excess energy over the best structure of this formula in the dataset = 178 meV/atom; volume = 102.6 Å³/f.u.; N(E_F) = 1.31 states/eV/cell
1.0
-0.5815 1.0406 -4.0139
1.1914 -3.8403 -1.1682
-5.2483 -3.2235 -2.2592
O Zr Cd
4 1 2
Direct
0.8234 0.8234 0.3532 O
0.1766 0.1766 0.6468 O
0.0000 0.5000 0.0000 O
0.5000 0.0000 0.0000 O
0.0000 0.0000 0.0000 Zr
0.6450 0.6450 0.7100 Cd
0.3550 0.3550 0.2900 Cd

=====

(9)
ZrCdO3 | Alexandria via LeMat-Bulk | PBE-GGA | optimized geometry; total magnetization = 0.00 μB/cell; E_form (uncorrected) = -2.07 eV/atom; volume = 70.0 Å³/f.u.; N(E_F) = 0.20 states/eV/cell
1.0
4.1209 0.0000 0.0000
0.0000 4.1209 0.0000
0.0000 0.0000 4.1209
O Zr Cd
3 1 1
Direct
0.5000 0.0000 0.0000 O
0.0000 0.5000 0.0000 O
0.0000 0.0000 0.5000 O
0.0000 0.0000 0.0000 Zr
0.5000 0.5000 0.5000 Cd

=====

(10)
Zr2CdO | Alexandria via LeMat-Bulk | PBE-GGA | optimized geometry; total magnetization = 0.00 μB/cell; E_form (uncorrected) = -0.10 eV/atom; excess energy over the best structure of this formula in the dataset = 1198 meV/atom; volume = 73.2 Å³/f.u.; N(E_F) = 1.46 states/eV/cell
1.0
0.0000 3.3200 3.3200
3.3200 0.0000 3.3200
3.3200 3.3200 0.0000
Zr O Cd
2 1 1
Direct
0.7500 0.7500 0.7500 Zr
0.2500 0.2500 0.2500 Zr
0.0000 0.0000 0.0000 O
0.5000 0.5000 0.5000 Cd

=====

(11)
Zr3Cd2O8 | Alexandria via LeMat-Bulk | PBE-GGA | optimized geometry; total magnetization = 0.00 μB/cell; E_form (uncorrected) = -2.54 eV/atom; volume = 194.0 Å³/f.u.; N(E_F) = 0.00 states/eV/cell
1.0
-3.5302 0.4624 -4.3402
5.1608 0.2870 -4.1671
-1.2247 -5.5172 3.3925
O Zr Cd
8 3 2
Direct
0.7665 0.3293 0.2057 O
0.2335 0.1236 0.7943 O
0.2335 0.6707 0.7943 O
0.7490 0.8954 0.7907 O
0.2267 0.6067 0.2133 O
0.2510 0.1046 0.2093 O
0.7733 0.3933 0.7867 O
0.7665 0.8764 0.2057 O
0.5000 0.0000 0.0000 Zr
0.0000 0.2643 0.0000 Zr
0.0000 0.7357 0.0000 Zr
0.3264 0.3134 0.6267 Cd
0.6736 0.6866 0.3733 Cd

=====

(12)
ZrCd3O | Alexandria via LeMat-Bulk | PBE-GGA | optimized geometry; total magnetization = 2.05 μB/cell; E_form (uncorrected) = 0.10 eV/atom; excess energy over the best structure of this formula in the dataset = 0 meV/atom; volume = 102.6 Å³/f.u.; N(E_F) = 4.50 states/eV/cell
1.0
-2.2950 -0.3742 4.0638
1.7158 -4.3187 0.5714
3.7027 1.7693 2.2540
O Cd Zr
1 3 1
Direct
0.0000 0.0000 0.0000 O
0.0000 0.5000 0.0000 Cd
0.0000 0.0000 0.5000 Cd
0.5000 0.0000 0.0000 Cd
0.5000 0.5000 0.5000 Zr

=====

(13)
ZrCd6O8 | Alexandria via LeMat-Bulk | PBE-GGA | optimized geometry; total magnetization = 0.00 μB/cell; E_form (uncorrected) = -1.42 eV/atom; volume = 217.3 Å³/f.u.; N(E_F) = 1.27 states/eV/cell
1.0
5.8444 0.0000 3.3743
1.9481 5.5102 3.3743
0.0000 0.0000 6.7486
O Cd Zr
8 6 1
Direct
0.2244 0.2244 0.7756 O
0.2244 0.7756 0.7756 O
0.2244 0.7756 0.2244 O
0.7500 0.7500 0.7500 O
0.7756 0.2244 0.7756 O
0.7756 0.7756 0.2244 O
0.7756 0.2244 0.2244 O
0.2500 0.2500 0.2500 O
0.0000 0.5000 0.5000 Cd
0.0000 0.0000 0.5000 Cd
0.0000 0.5000 0.0000 Cd
0.5000 0.0000 0.5000 Cd
0.5000 0.0000 0.0000 Cd
0.5000 0.5000 0.0000 Cd
0.0000 0.0000 0.0000 Zr

=====

(14)
Zr2CdO | Alexandria via LeMat-Bulk | PBE-GGA | optimized geometry; total magnetization = 0.00 μB/cell; E_form (uncorrected) = -1.23 eV/atom; excess energy over the best structure of this formula in the dataset = 63 meV/atom; volume = 70.9 Å³/f.u.; N(E_F) = 1.70 states/eV/cell
1.0
3.3103 0.0000 0.0000
1.6552 2.8668 0.0000
1.6552 0.9556 7.4675
Zr O Cd
2 1 1
Direct
0.7766 0.7766 0.6703 Zr
0.2234 0.2234 0.3297 Zr
0.5000 0.5000 0.5000 O
0.0000 0.0000 0.0000 Cd

=====

(15)
Zr4CdO9 | Alexandria via LeMat-Bulk | PBE-GGA | optimized geometry; total magnetization = 0.00 μB/cell; E_form (uncorrected) = -2.97 eV/atom; volume = 180.4 Å³/f.u.; N(E_F) = 0.00 states/eV/cell
1.0
-1.8514 11.1091 12.9016
-2.9490 8.2960 14.6891
5.6556 -1.0459 1.8268
Cd O Zr
2 18 8
Direct
0.5000 0.5000 0.0000 Cd
0.0000 0.0000 0.5000 Cd
0.4749 0.4749 0.6995 O
0.6279 0.6279 0.5994 O
0.4231 0.4231 0.0514 O
0.0676 0.0676 0.5569 O
0.7851 0.7851 0.5199 O
0.5769 0.5769 0.9486 O
0.8317 0.8317 0.1607 O
0.5251 0.5251 0.3005 O
0.1683 0.1683 0.8393 O
0.7298 0.7298 0.8786 O
0.1114 0.1114 0.1913 O
0.2702 0.2702 0.1214 O
0.2149 0.2149 0.4801 O
0.6830 0.6830 0.2379 O
0.3170 0.3170 0.7621 O
0.3721 0.3721 0.4006 O
0.9324 0.9324 0.4431 O
0.8886 0.8886 0.8087 O
0.7915 0.7915 0.8827 Zr
0.3104 0.3104 0.3987 Zr
0.4130 0.4130 0.6757 Zr
0.6896 0.6896 0.6013 Zr
0.8940 0.8940 0.1719 Zr
0.5870 0.5870 0.3243 Zr
0.1060 0.1060 0.8281 Zr
0.2085 0.2085 0.1173 Zr

=====

(16)
Zr2CdO | Alexandria via LeMat-Bulk | PBE-GGA | optimized geometry; total magnetization = 0.00 μB/cell; E_form (uncorrected) = -0.89 eV/atom; excess energy over the best structure of this formula in the dataset = 403 meV/atom; volume = 88.7 Å³/f.u.; N(E_F) = 2.73 states/eV/cell
1.0
-3.7017 4.2059 1.3509
-1.8576 -3.0811 4.5027
0.9363 2.8400 6.0183
O Cd Zr
2 2 4
Direct
0.5000 0.5000 0.0000 O
0.2500 0.7500 0.5000 O
0.7500 0.2500 0.5000 Cd
0.0000 0.0000 0.0000 Cd
0.5037 0.1250 0.2500 Zr
0.2463 0.6250 0.2500 Zr
0.3750 0.4963 0.7500 Zr
0.8750 0.7537 0.7500 Zr

=====

(17)
Zr6CdO | Alexandria via LeMat-Bulk | PBE-GGA | optimized geometry; total magnetization = 0.00 μB/cell; E_form (uncorrected) = -0.63 eV/atom; volume = 165.1 Å³/f.u.; N(E_F) = 8.48 states/eV/cell
1.0
-3.8163 -3.0694 1.7733
1.7590 -5.6721 0.6326
2.2283 0.3022 5.3743
Cd O Zr
1 1 6
Direct
0.5000 0.5000 0.5000 Cd
0.0000 0.0000 0.0000 O
0.5909 0.2339 0.1090 Zr
0.2009 0.0469 0.3300 Zr
0.0598 0.3501 0.7958 Zr
0.7991 0.9531 0.6700 Zr
0.4091 0.7661 0.8910 Zr
0.9402 0.6499 0.2042 Zr

=====

(18)
Zr2CdO | Alexandria via LeMat-Bulk | PBE-GGA | optimized geometry; total magnetization = 0.00 μB/cell; E_form (uncorrected) = -1.21 eV/atom; excess energy over the best structure of this formula in the dataset = 85 meV/atom; volume = 71.2 Å³/f.u.; N(E_F) = 2.10 states/eV/cell
1.0
-1.0807 -0.8129 3.0289
2.1124 -1.2383 2.2377
1.8588 6.2303 4.1516
Zr Cd O
2 1 1
Direct
0.2770 0.2770 0.1689 Zr
0.0563 0.0563 0.8312 Zr
0.4997 0.4997 0.5008 Cd
0.6670 0.6670 0.9991 O

=====

(19)
Zr3Cd2O | Alexandria via LeMat-Bulk | PBE-GGA | optimized geometry; total magnetization = 0.00 μB/cell; E_form (uncorrected) = -0.93 eV/atom; volume = 109.5 Å³/f.u.; N(E_F) = 17.86 states/eV/cell
1.0
-4.4774 4.9265 -3.6554
-6.0916 -3.0358 3.3700
0.7249 4.9187 5.7412
Cd O Zr
8 4 12
Direct
0.5692 0.4308 0.9308 Cd
0.0692 0.0692 0.0692 Cd
0.1808 0.8192 0.3192 Cd
0.3192 0.1808 0.8192 Cd
0.4308 0.9308 0.5692 Cd
0.9308 0.5692 0.4308 Cd
0.6808 0.6808 0.6808 Cd
0.8192 0.3192 0.1808 Cd
0.8750 0.1250 0.6250 O
0.6250 0.8750 0.1250 O
0.3750 0.3750 0.3750 O
0.1250 0.6250 0.8750 O
0.9605 0.3750 0.7895 Zr
0.2105 0.4605 0.1250 Zr
0.8750 0.7105 0.0395 Zr
0.7895 0.9605 0.3750 Zr
0.6250 0.2895 0.5395 Zr
0.7105 0.0395 0.8750 Zr
0.3750 0.7895 0.9605 Zr
0.1250 0.2105 0.4605 Zr
0.0395 0.8750 0.7105 Zr
0.2895 0.5395 0.6250 Zr
0.5395 0.6250 0.2895 Zr
0.4605 0.1250 0.2105 Zr

=====

(20)
ZrCdO3 | Alexandria via LeMat-Bulk | PBE-GGA | optimized geometry; total magnetization = 0.00 μB/cell; E_form (uncorrected) = -2.33 eV/atom; volume = 74.5 Å³/f.u.; N(E_F) = 0.00 states/eV/cell
1.0
5.2535 0.0000 1.0852
2.6268 5.2476 0.5426
0.1128 0.0000 5.4266
O Zr Cd
6 2 2
Direct
0.0462 0.4126 0.2291 O
0.7964 0.0000 0.2111 O
0.5413 0.4126 0.7709 O
0.4587 0.5874 0.2291 O
0.9538 0.5874 0.7709 O
0.2036 0.0000 0.7889 O
0.8452 0.3096 0.0000 Zr
0.1548 0.6904 0.0000 Zr
0.6430 0.7139 0.5000 Cd
0.3570 0.2861 0.5000 Cd

=====

(21)
Cd2Os | Alexandria via LeMat-Bulk | PBE-GGA | optimized geometry; total magnetization = 0.00 μB/cell; energy relative to the elements = 1.03 eV/atom; volume = 56.4 Å³/f.u.; N(E_F) = 11.55 states/eV/cell
1.0
-2.6149 -4.2620 -1.7725
-0.3493 -4.3450 3.0237
-7.8139 3.2357 3.7471
Cd Os
8 4
Direct
0.0000 0.0000 0.5000 Cd
0.8306 0.3388 0.7500 Cd
0.8306 0.8306 0.7500 Cd
0.3388 0.8306 0.7500 Cd
0.1694 0.6612 0.2500 Cd
0.0000 0.0000 0.0000 Cd
0.6612 0.1694 0.2500 Cd
0.1694 0.1694 0.2500 Cd
0.3333 0.3333 0.9780 Os
0.6667 0.6667 0.4780 Os
0.6667 0.6667 0.0220 Os
0.3333 0.3333 0.5220 Os

=====

(22)
Cd2Os | Alexandria via LeMat-Bulk | PBE-GGA | optimized geometry; total magnetization = 0.00 μB/cell; energy relative to the elements = 0.58 eV/atom; volume = 54.0 Å³/f.u.; N(E_F) = 2.27 states/eV/cell
1.0
-5.0688 3.9129 4.8966
3.4531 -2.6695 -6.7772
-2.9931 -3.8828 0.0044
Cd Os
4 2
Direct
0.2197 0.7803 0.2500 Cd
0.7803 0.2197 0.7500 Cd
0.4484 0.5516 0.7500 Cd
0.5516 0.4484 0.2500 Cd
0.8825 0.1175 0.2500 Os
0.1175 0.8825 0.7500 Os

=====

(23)
CdOs2 | Alexandria via LeMat-Bulk | PBE-GGA | optimized geometry; total magnetization = 0.00 μB/cell; excess energy over the best structure of this formula in the dataset = 308 meV/atom; energy relative to the elements = 0.63 eV/atom; volume = 51.4 Å³/f.u.; N(E_F) = 3.94 states/eV/cell
1.0
2.1812 -3.7780 0.0000
2.1812 3.7780 0.0000
0.0000 0.0000 6.2328
Cd Os
2 4
Direct
0.0000 0.0000 0.7500 Cd
0.0000 0.0000 0.2500 Cd
0.3333 0.6667 0.5451 Os
0.6667 0.3333 0.0451 Os
0.3333 0.6667 0.9549 Os
0.6667 0.3333 0.4549 Os